Below is an optimized crystal structure of Ca2ErCuSe4, with properties calculated at the GGA-PBE level.

Magnetization, μB per formula unit: 0.00
SG: P2/m, No. 10
Formation energy (no corrections), meV per atom: -1504

a = 7.091 Å, b = 4.091 Å, c = 7.105 Å
α = 90.00°, β = 110.41°, γ = 90.00°
Sites, in units of the cell vectors:
Ca 0.000 0.000 0.000
Ca 0.500 0.500 0.000
Er 0.000 0.500 0.500
Cu 0.500 0.000 0.500
Se 0.243 0.000 0.742
Se 0.265 0.500 0.276
Se 0.735 0.500 0.724
Se 0.757 0.000 0.258